Entry 1:
## CaY2W (PBE)

Data for an optimized crystal structure of CaY2W.

Unit cell a=5.804 b=5.804 c=5.804 alpha=132.38 beta=132.38 gamma=69.62
Element x y z (fractional)
Ca 0.000 0.000 0.000
Y 0.500 0.500 0.000
Y 0.750 0.250 0.500
W 0.250 0.750 0.500

Summary:
- energy (eV per atom) = -6.324
- SG = I-4m2 (119)
- size of the total moment (μB/atom) = 0.000
- calculated volume (Å³/atom) = 26.158
- energy relative to the lowest polymorph listed for this composition (eV per atom) = 0.2624

---

Entry 2:
## Ca2Y2W (PBE)

Data for an optimized crystal structure of Ca2Y2W.

Unit cell a=7.556 b=7.556 c=5.158 alpha=90.00 beta=90.00 gamma=90.00
Element x y z (fractional)
Ca 0.142 0.358 0.000
Ca 0.358 0.858 0.000
Ca 0.642 0.142 0.000
Ca 0.858 0.642 0.000
Y 0.186 0.686 0.500
Y 0.314 0.186 0.500
Y 0.686 0.814 0.500
Y 0.814 0.314 0.500
W 0.000 0.000 0.000
W 0.500 0.500 0.000

Summary:
- energy (eV per atom) = -5.009
- SG = P4/mbm (127)
- size of the total moment (μB/atom) = 0.148
- calculated volume (Å³/atom) = 29.451
- energy relative to the lowest polymorph listed for this composition (eV per atom) = 0.2710

---

Entry 3:
## CaY2W (PBE)

Data for an optimized crystal structure of CaY2W.

Unit cell a=3.525 b=3.525 c=9.421 alpha=90.00 beta=90.00 gamma=90.00
Element x y z (fractional)
Ca 0.000 0.000 0.000
Y 0.500 0.500 0.317
Y 0.500 0.500 0.683
W 0.000 0.000 0.500

Summary:
- energy (eV per atom) = -6.587
- SG = P4/mmm (123)
- size of the total moment (μB/atom) = 0.000
- calculated volume (Å³/atom) = 29.266
- energy relative to the lowest polymorph listed for this composition (eV per atom) = 0.0000

---

Entry 4:
## CaYW2 (PBE)

Data for an optimized crystal structure of CaYW2.

Unit cell a=5.391 b=5.391 c=5.963 alpha=92.76 beta=92.76 gamma=30.16
Element x y z (fractional)
Ca 0.000 0.000 0.000
Y 0.500 0.500 0.500
W 0.247 0.247 0.712
W 0.753 0.753 0.288

Summary:
- energy (eV per atom) = -7.646
- SG = C2/m (12)
- size of the total moment (μB/atom) = 0.000
- calculated volume (Å³/atom) = 21.746
- energy relative to the lowest polymorph listed for this composition (eV per atom) = 0.5538

---

Entry 5:
## CaYW2 (PBE)

Data for an optimized crystal structure of CaYW2.

Unit cell a=2.897 b=5.051 c=6.341 alpha=90.00 beta=100.14 gamma=90.00
Element x y z (fractional)
Ca 0.000 0.000 0.000
Y 0.000 0.000 0.500
W 0.475 0.500 0.695
W 0.525 0.500 0.305

Summary:
- energy (eV per atom) = -7.790
- SG = P2/m (10)
- size of the total moment (μB/atom) = 0.000
- calculated volume (Å³/atom) = 22.837
- energy relative to the lowest polymorph listed for this composition (eV per atom) = 0.4093

---

Entry 6:
## CaYW2 (PBE)

Data for an optimized crystal structure of CaYW2.

Unit cell a=5.853 b=5.853 c=2.850 alpha=92.35 beta=92.35 gamma=121.34
Element x y z (fractional)
Ca 0.000 0.000 0.000
Y 0.500 0.500 0.000
W 0.000 0.500 0.500
W 0.500 0.000 0.500

Summary:
- energy (eV per atom) = -7.739
- SG = C2/m (12)
- size of the total moment (μB/atom) = 0.000
- calculated volume (Å³/atom) = 20.775
- energy relative to the lowest polymorph listed for this composition (eV per atom) = 0.4607